Computed, not measured: Ni3SnHg after structural relaxation at the PBE level of DFT.

Calculated values
total moment = 0.00 μB/f.u.
formation enthalpy at 0 K = 896.3 meV per atom
DFT total energy = -3.43 eV per atom
V = 102.0 Å³/cell
energy above the lowest structure with this stoichiometry = 0.0 meV/atom
DOS at the Fermi energy = 3.65 states/eV per cell

a b c (Å): 4.6728 4.6728 4.6728
angles (deg): 90.00 90.00 90.00
Closest atoms and distances in Å follow each position.
Fractional positions:
Ni 0.0000 0.5000 0.0000  2 Sn 2.34
Ni 0.0000 0.0000 0.5000  2 Sn 2.34
Ni 0.5000 0.0000 0.0000  2 Sn 2.34
Hg 0.5000 0.5000 0.5000  12 Ni 3.30
Sn 0.0000 0.0000 0.0000  6 Ni 2.34